# 1
A plane-wave DFT calculation with meta-GGA SCAN was carried out for LiGdIn2 at its PBEsol-relaxed geometry.

Geometry as POSCAR:
```
LiGdIn2
1.0
0.0000 3.5874 3.5874
3.5874 0.0000 3.5874
3.5874 3.5874 0.0000
Li Gd In
1 1 2
Cartesian
0.0000 0.0000 0.0000 Li
3.5874 3.5874 3.5874 Gd
1.7937 1.7937 1.7937 In
5.3811 5.3811 5.3811 In
```

Properties
Its space group is Fm-3m, No. 225. Its formation energy is -0.490 eV/atom. The calculated total energy comes out at -129.938 eV/cell.

***

# 2
A plane-wave DFT calculation with meta-GGA SCAN was carried out for Gd2MgIn at its PBEsol-relaxed geometry.

Geometry as POSCAR:
```
Gd2MgIn
1.0
0.0000 3.7383 3.7383
3.7383 0.0000 3.7383
3.7383 3.7383 0.0000
Gd Mg In
2 1 1
Cartesian
1.8692 1.8692 1.8692 Gd
5.6075 5.6075 5.6075 Gd
0.0000 0.0000 0.0000 Mg
3.7383 3.7383 3.7383 In
```

Properties
Its space group is Fm-3m, No. 225. Its formation energy is -0.409 eV/atom. The calculated total energy comes out at -157.629 eV/cell.

***

# 3
A plane-wave DFT calculation with meta-GGA SCAN was carried out for GdInO3 at its PBEsol-relaxed geometry.

Geometry as POSCAR:
```
GdInO3
1.0
6.3383 0.0000 0.0000
-3.1692 5.4892 0.0000
0.0000 0.0000 12.3079
Gd In O
6 6 18
Cartesian
0.0000 0.0000 0.0000 Gd
0.0000 0.0000 6.1540 Gd
0.0000 3.6594 0.4472 Gd
0.0000 3.6594 6.6012 Gd
3.1692 1.8297 0.4472 Gd
3.1692 1.8297 6.6012 Gd
-1.0572 1.8312 3.3327 In
-2.1119 3.6580 9.4866 In
2.1145 0.0000 3.3327 In
1.0572 1.8312 9.4866 In
4.2239 0.0000 9.4866 In
2.1119 3.6580 3.3327 In
0.0000 0.0000 3.7083 O
0.0000 0.0000 9.8622 O
-0.9704 1.6807 1.2312 O
-1.1451 1.9833 5.4145 O
-2.0241 3.5058 11.5685 O
-2.1988 3.8084 7.3851 O
1.9408 0.0000 1.2312 O
0.9704 1.6807 7.3851 O
0.0000 3.6594 2.9918 O
0.0000 3.6594 9.1457 O
2.2902 0.0000 5.4145 O
1.1451 1.9833 11.5685 O
4.0482 0.0000 11.5685 O
2.0241 3.5058 5.4145 O
3.1692 1.8297 2.9918 O
3.1692 1.8297 9.1457 O
4.3976 0.0000 7.3851 O
2.1988 3.8084 1.2312 O
```

Properties
Its space group is P6_3cm, No. 185. The calculated total energy comes out at -748.455 eV/cell. Its uncorrected formation energy is -2769 meV/atom.

***

# 4
A plane-wave DFT calculation with meta-GGA SCAN was carried out for GdIn2Rh at its PBEsol-relaxed geometry.

Geometry as POSCAR:
```
GdIn2Rh
1.0
2.1600 -4.9918 0.0000
2.1600 4.9918 0.0000
0.0000 0.0000 7.8533
Gd In Rh
2 4 2
Cartesian
2.1600 4.3150 5.8900 Gd
2.1600 -4.3150 1.9633 Gd
2.1600 1.4367 4.3234 In
2.1600 1.4367 7.4566 In
2.1600 -1.4367 0.3967 In
2.1600 -1.4367 3.5300 In
2.1600 2.8411 1.9633 Rh
2.1600 -2.8411 5.8900 Rh
```

Properties
Its space group is Cmcm, No. 63. Its formation energy is -0.711 eV/atom. The calculated total energy comes out at -324.412 eV/cell.

***

# 5
A plane-wave DFT calculation with meta-GGA SCAN was carried out for GdZnIn at its PBEsol-relaxed geometry.

Geometry as POSCAR:
```
GdZnIn
1.0
4.6428 0.0000 0.0000
-2.3214 4.0208 0.0000
0.0000 0.0000 7.0819
Gd Zn In
2 2 2
Cartesian
0.0000 0.0000 0.0000 Gd
0.0000 0.0000 3.5409 Gd
0.0000 2.6805 1.7705 Zn
2.3214 1.3403 5.3114 Zn
0.0000 2.6805 5.3114 In
2.3214 1.3403 1.7705 In
```

Properties
Its space group is P6_3/mmc, No. 194. Its formation energy is -0.552 eV/atom. The calculated total energy comes out at -214.748 eV/cell.

***

# 6
A plane-wave DFT calculation with meta-GGA SCAN was carried out for Gd2IrPd at its PBEsol-relaxed geometry.

Geometry as POSCAR:
```
Gd2IrPd
1.0
0.0000 3.4378 3.4378
3.4378 0.0000 3.4378
3.4378 3.4378 0.0000
Gd Ir Pd
2 1 1
Cartesian
1.7189 1.7189 1.7189 Gd
5.1567 5.1567 5.1567 Gd
0.0000 0.0000 0.0000 Ir
3.4378 3.4378 3.4378 Pd
```

Properties
Its space group is Fm-3m, No. 225. Its formation energy is -0.891 eV/atom. The calculated total energy comes out at -225.071 eV/cell.

***

# 7
A plane-wave DFT calculation with meta-GGA SCAN was carried out for Gd2IrRh at its PBEsol-relaxed geometry.

Geometry as POSCAR:
```
Gd2IrRh
1.0
0.0000 3.4023 3.4023
3.4023 0.0000 3.4023
3.4023 3.4023 0.0000
Gd Ir Rh
2 1 1
Cartesian
1.7012 1.7012 1.7012 Gd
5.1035 5.1035 5.1035 Gd
0.0000 0.0000 0.0000 Ir
3.4023 3.4023 3.4023 Rh
```

Properties
Its space group is Fm-3m, No. 225. Its formation energy is -0.845 eV/atom. The calculated total energy comes out at -225.884 eV/cell.

***

# 8
A plane-wave DFT calculation with meta-GGA SCAN was carried out for Gd2IrRu at its PBEsol-relaxed geometry.

Geometry as POSCAR:
```
Gd2IrRu
1.0
0.0000 3.3849 3.3849
3.3849 0.0000 3.3849
3.3849 3.3849 0.0000
Gd Ir Ru
2 1 1
Cartesian
1.6925 1.6925 1.6925 Gd
5.0774 5.0774 5.0774 Gd
0.0000 0.0000 0.0000 Ir
3.3849 3.3849 3.3849 Ru
```

Properties
Its space group is Fm-3m, No. 225. Its formation energy is -0.566 eV/atom. The calculated total energy comes out at -225.820 eV/cell.